# 1
DFT (PBE) results for an optimized crystal structure of Sm2Zn3CoNi12.

## Properties
As for the total energy: -87.4 eV/f.u. As for the total magnetic moment: 3.8 Bohr magnetons per cell. As for the density of states at the Fermi level: 20.0 states/eV/cell.

Cell: 9.221 9.221 9.221 Å, 38.02 38.02 38.02°
Last column: magnetic moment on the atom in μB.
Sites, in units of the cell vectors:
Ni (0.422, 0.814, 0.422)  0.08
Ni (0.814, 0.422, 0.422)  0.08
Ni (0.651, 0.071, 0.071)  0.35
Ni (0.349, 0.929, 0.929)  0.35
Ni (0.186, 0.578, 0.578)  0.08
Ni (0.071, 0.651, 0.071)  0.35
Ni (0.929, 0.349, 0.929)  0.35
Ni (0.929, 0.929, 0.349)  0.35
Ni (0.071, 0.071, 0.651)  0.35
Ni (0.578, 0.578, 0.186)  0.08
Ni (0.578, 0.186, 0.578)  0.08
Ni (0.422, 0.422, 0.814)  0.08
Zn (0.000, 0.000, 0.500)  -0.01
Zn (0.500, 0.000, 0.000)  -0.01
Zn (0.000, 0.500, 0.000)  -0.01
Sm (0.653, 0.653, 0.653)  -0.06
Sm (0.347, 0.347, 0.347)  -0.06
Co (0.000, 0.000, 0.000)  1.63



# 2
DFT (PBE) results for an optimized crystal structure of Sm2ZnCo2Ni5.

## Properties
As for the total energy: -55.0 eV/f.u. As for the total magnetic moment: 5.5 Bohr magnetons per cell. As for the density of states at the Fermi level: 21.4 states/eV/cell.

Cell: 3.816 8.799 8.799 Å, 90.00 90.00 90.00°
Last column: magnetic moment on the atom in μB.
Sites, in units of the cell vectors:
Sm (0.000, 0.184, 0.316)  -0.09
Sm (0.000, 0.316, 0.816)  -0.09
Sm (0.000, 0.684, 0.184)  -0.09
Sm (0.000, 0.816, 0.684)  -0.09
Ni (0.500, 0.792, 0.942)  0.20
Ni (0.500, 0.558, 0.708)  0.20
Ni (0.500, 0.000, 0.500)  0.34
Ni (0.500, 0.058, 0.792)  0.20
Ni (0.500, 0.292, 0.558)  0.20
Ni (0.500, 0.942, 0.208)  0.20
Ni (0.500, 0.708, 0.442)  0.20
Ni (0.500, 0.500, 0.000)  0.34
Ni (0.500, 0.442, 0.292)  0.20
Ni (0.500, 0.208, 0.058)  0.20
Zn (0.000, 0.500, 0.500)  -0.01
Zn (0.000, 0.000, 0.000)  -0.01
Co (0.000, 0.112, 0.612)  1.02
Co (0.000, 0.388, 0.112)  1.02
Co (0.000, 0.612, 0.888)  1.02
Co (0.000, 0.888, 0.388)  1.02



Q: Which of these has the highest total energy?
A: Sm2ZnCo2Ni5



Q: Which value of total energy does entry 1 give?
A: -87.4 eV/f.u.